This record from Alexandria via LeMat-Bulk describes an optimized crystal structure of TlAgGe. The functional is PBE-GGA.

Cell: 4.6186 5.1129 6.2537 Å, 74.34 87.75 89.24°
Last column: nearest neighbours and their distance in Å.
Space group P1 (No. 1)
Symmetry-distinct sites (fractional):
Tl 0.0000 0.0000 0.0000 x1  2 Ag 3.09-3.41, 4 Ge 3.28-3.41, 2 Tl 3.36-3.39
Tl 0.4980 0.5019 0.0745 x1  3 Ge 3.16-3.43, 4 Ag 3.20-3.39, 2 Tl 3.36-3.39
Ag 0.0015 0.2026 0.4237 x1  4 Ge 2.76-2.90, 2 Ag 2.84-2.85
Ag 0.5050 0.8735 0.4343 x1  4 Ge 2.77-2.85, 2 Ag 2.84-2.85
Ge 0.4951 0.3142 0.6324 x1  4 Ag 2.76-2.85, 2 Ge 2.78-2.83
Ge 0.9969 0.6248 0.6389 x1  4 Ag 2.77-2.90, 2 Ge 2.78-2.83

Output
Uncorrected energy in eV per atom: -3.10
Formation enthalpy at 0 K in kJ/mol of formula units: 50
N(E_F) in states/eV/cell: 2.0


This record from Alexandria via LeMat-Bulk describes an optimized crystal structure of UVRe2. The functional is PBE-GGA.

Cell: 4.5772 4.5772 3.1768 Å, 90.00 90.00 90.00°
Last column: nearest neighbours and their distance in Å.
Space group P4/mmm (No. 123)
Symmetry-distinct sites (fractional):
U 0.0000 0.0000 0.0000 x1  8 Re 2.79
V 0.5000 0.5000 0.0000 x1  8 Re 2.79
Re 0.0000 0.5000 0.5000 x2  4 U 2.79, 4 V 2.79

Output
Uncorrected energy in eV per atom: -11.28
Formation enthalpy at 0 K in kJ/mol of formula units: 17
N(E_F) in states/eV/cell: 4.0


This record from Alexandria via LeMat-Bulk describes an optimized crystal structure of NaTcAg2Br8. The functional is PBE-GGA.

Cell: 7.1042 8.1303 7.1153 Å, 90.00 115.30 90.00°
Last column: nearest neighbours and their distance in Å.
Space group P2/m (No. 10)
Symmetry-distinct sites (fractional):
Na 0.0000 0.0000 0.0000 x1  6 Br 2.94-2.98
Tc 0.0000 0.5000 0.0000 x1  6 Br 2.52-2.56
Ag 0.5000 0.2334 0.0000 x2  4 Br 2.68-2.84
Br 0.2286 0.5000 0.8028 x2  1 Tc 2.56, 2 Ag 2.84
Br 0.2323 0.2844 0.2447 x4  1 Tc 2.52
Br 0.2493 0.0000 0.7534 x2  2 Ag 2.68, 1 Na 2.98

Output
Uncorrected energy in eV per atom: -3.09
ΔE_f (raw) in eV per atom: -0.523
N(E_F) in states/eV/cell: 6.7


This record from Alexandria via LeMat-Bulk describes an optimized crystal structure of KNp2O8. The functional is PBE-GGA.

Cell: 12.8543 4.2126 9.2265 Å, 90.00 130.72 90.00°
Last column: nearest neighbours and their distance in Å.
Space group C2/m (No. 12)
Symmetry-distinct sites (fractional):
K 0.0000 0.0000 0.0000 x2  10 O 2.93-3.20
Np 0.1743 0.0000 0.6827 x4  3 O 1.84-1.94
O 0.0058 0.0000 0.6420 x4  1 Np 1.94
O 0.1783 0.5000 0.0477 x4  1 Np 1.90
O 0.1777 0.5000 0.6897 x4  2 Np 2.11
O 0.1930 0.5000 0.3381 x4  1 Np 1.84

Output
Uncorrected energy in eV per atom: -8.22
ΔE_f (raw) in eV per atom: -2.160
N(E_F) in states/eV/cell: 11.7